{
  "formula": "ZrTlFe",
  "functional": "GGA-PBE",
  "state": "optimized geometry",
  "cell": [[-0.7061, 1.2175, 4.2456], [-2.7632, -2.3887, 2.5815], [1.6437, -2.4790, 3.3404]],
  "species": ["Fe", "Tl", "Zr"],
  "frac_coords": [[0.7500, 0.7500, 0.7500], [0.0000, 0.0000, 0.0000], [0.5000, 0.5000, 0.5000]],
  "delta_e_f_ev_per_atom": 0.33
}


{
  "formula": "Zr2TlFe",
  "functional": "GGA-PBE",
  "state": "optimized geometry",
  "cell": [[-0.3034, 5.7925, 0.6384], [-0.3410, 4.4991, 3.7006], [4.1980, 2.0931, 0.9355]],
  "species": ["Fe", "Tl", "Zr", "Zr"],
  "frac_coords": [[0.5075, 0.5075, 0.4894], [0.7863, 0.7863, 0.7150], [0.9974, 0.9974, 0.0035], [0.2089, 0.2089, 0.2921]],
  "e_above_lowest_polymorph_mev_per_atom": 134,
  "delta_e_f_ev_per_atom": 0.05
}